## GaMoPb2F (PBE with a Hubbard U)

Data for an optimized crystal structure of GaMoPb2F.

Results
The value obtained for the uncorrected energy is -19.333 eV per cell. Its density of states at the Fermi level is 2.4 states/eV/f.u.

Geometry as CIF:
```
data_GaMoPb2F
_chemical_formula_sum 'Ga1 Mo1 Pb2 F1'
_cell_length_a 5.670
_cell_length_b 3.985
_cell_length_c 5.670
_cell_angle_alpha 90.00
_cell_angle_beta 90.00
_cell_angle_gamma 90.00
_space_group_name_H-M_alt 'P 1'
_space_group_IT_number 1
loop_
_space_group_symop_operation_xyz
'x,y,z'
loop_
_atom_site_label
_atom_site_fract_x
_atom_site_fract_y
_atom_site_fract_z
Pb1 0.000 0.000 0.500
Pb2 0.500 0.000 0.000
Mo1 0.500 0.500 0.500
Ga1 0.000 0.000 0.000
F1 0.000 0.500 0.000
```